{"formula": "CeMg2ScPt2", "functional": "PBE-GGA", "state": "relaxed", "e_tot_ev_per_cell": -32.04, "spacegroup": "P-3m1", "crystal_system": "trigonal", "cell": [[4.6556, 0.0000, 0.0000], [-2.3278, 4.0318, 0.0000], [0.0000, 0.0000, 6.4881]], "species": ["Ce", "Mg", "Mg", "Sc", "Pt", "Pt"], "fractional_positions": [[0.0000, 0.0000, 0.0000], [0.3333, 0.6667, 0.7046], [0.6667, 0.3333, 0.2954], [0.0000, 0.0000, 0.5000], [0.3333, 0.6667, 0.2683], [0.6667, 0.3333, 0.7317]]}